Entry 1:
# NaSrSiP2

NaSrSiP2 after structural relaxation (PBE-GGA, the Alexandria database).

## Properties
Formation energy without anion corrections ... 0.969 eV/atom
Volume ... 174 Å³ per cell
ΔE to the lowest computed polymorph ... 125.5 kJ per mole of atoms

Lattice parameters (Å, degrees): 5.563 5.608 5.563 90.00 90.00 90.00
Fractional positions:
Na (0.500, 0.500, 0.500)
P (0.500, 0.000, 0.000)
P (0.000, 0.000, 0.500)
Si (0.000, 0.500, 0.000)
Sr (0.000, 0.000, 0.000)

---

Entry 2:
# NaTiSi2P

NaTiSi2P after structural relaxation (PBE-GGA, the Alexandria database).

## Properties
Formation energy without anion corrections ... 0.829 eV/atom
Volume ... 100 Å³ per cell

Lattice parameters (Å, degrees): 4.612 4.612 4.685 90.00 90.00 90.00
Fractional positions:
Ti (0.500, 0.500, 0.500)
Na (0.000, 0.000, 0.500)
Si (0.500, 0.000, 0.000)
Si (0.000, 0.500, 0.000)
P (0.000, 0.000, 0.000)

---

Entry 3:
# NaTl2SiP2

NaTl2SiP2 after structural relaxation (PBE-GGA, the Alexandria database).

## Properties
Formation energy without anion corrections ... -0.139 eV/atom
Volume ... 311 Å³ per cell

Lattice parameters (Å, degrees): 6.618 6.094 8.936 109.94 111.73 90.00
Fractional positions:
Si (0.500, 0.750, 0.000)
Si (0.500, 0.250, 0.000)
Tl (0.449, 0.783, 0.566)
Tl (0.551, 0.217, 0.434)
Tl (0.117, 0.283, 0.566)
Tl (0.883, 0.717, 0.434)
Na (0.000, 0.750, 0.000)
Na (0.000, 0.250, 0.000)
P (0.242, 0.921, 0.842)
P (0.400, 0.579, 0.158)
P (0.600, 0.421, 0.842)
P (0.758, 0.079, 0.158)

---

Entry 4:
# NaZnSi2P

NaZnSi2P after structural relaxation (PBE-GGA, the Alexandria database).

## Properties
Formation energy without anion corrections ... 0.702 eV/atom
Volume ... 110 Å³ per cell

Lattice parameters (Å, degrees): 4.790 4.801 4.790 90.00 90.00 90.00
Fractional positions:
Na (0.500, 0.500, 0.500)
Zn (0.000, 0.000, 0.000)
P (0.000, 0.500, 0.000)
Si (0.000, 0.000, 0.500)
Si (0.500, 0.000, 0.000)

---

Entry 5:
# NaZrSiP2

NaZrSiP2 after structural relaxation (PBE-GGA, the Alexandria database).

## Properties
Formation energy without anion corrections ... 1.092 eV/atom
Volume ... 103 Å³ per cell

Lattice parameters (Å, degrees): 4.691 4.693 4.691 90.00 90.00 90.00
Fractional positions:
P (0.000, 0.000, 0.500)
P (0.500, 0.000, 0.000)
Si (0.000, 0.500, 0.000)
Zr (0.500, 0.500, 0.500)
Na (0.000, 0.000, 0.000)

---

Entry 6:
# NaSn2P2

NaSn2P2 after structural relaxation (PBE-GGA, the Alexandria database).

## Properties
Volume ... 227 Å³ per cell

Lattice parameters (Å, degrees): 7.887 7.887 3.649 90.00 90.00 90.00
Fractional positions:
Na (0.500, 0.500, 0.000)
Na (0.000, 0.000, 0.000)
Sn (0.862, 0.638, 0.000)
Sn (0.362, 0.862, 0.000)
Sn (0.138, 0.362, 0.000)
Sn (0.638, 0.138, 0.000)
P (0.654, 0.846, 0.500)
P (0.846, 0.346, 0.500)
P (0.154, 0.654, 0.500)
P (0.346, 0.154, 0.500)

---

| no. | calculated density (g cm⁻³) | electronic total energy (eV/atom) |
| --- | --- | --- |
| 1 | 1.920 | -2.88 |
| 2 | 2.633 | -4.26 |
| 3 | 5.565 | -3.86 |
| 4 | 2.647 | -3.07 |
| 5 | 3.284 | -4.13 |
| 6 | 4.716 | -3.90 |